# 1
First-principles (PBE) data for a relaxed structure of CeNd8Tm5, as listed in the Alexandria database.

Cell and atoms, written as POSCAR:
```
CeNd8Tm5
1.0
6.469 -5.533 0.000
6.469 5.533 0.000
-6.287 0.000 6.571
Ce Nd Tm
1 8 5
direct
0.000 0.000 0.000
0.112 0.509 0.235
0.141 0.723 0.721
0.277 0.859 0.279
0.340 0.347 0.948
0.491 0.888 0.765
0.653 0.660 0.052
0.711 0.147 0.712
0.853 0.289 0.288
0.329 0.338 0.545
0.505 0.123 0.246
0.662 0.671 0.455
0.877 0.495 0.754
0.991 0.009 0.500
```

Results
total moment = 1.06 μB/f.u.
electronic total energy = -63.9 eV per cell
formation energy from the elements = 0.18 eV per atom
theoretical density = 7.5 g/cm³

# 2
First-principles (PBE) data for a relaxed structure of CeNd6Tm3, as listed in the Alexandria database.

Cell and atoms, written as POSCAR:
```
CeNd6Tm3
1.0
4.953 2.859 3.980
-4.953 2.859 3.980
0.000 -5.719 3.980
Ce Nd Tm
1 6 3
direct
0.000 0.000 0.000
0.000 0.324 0.676
0.172 0.828 0.500
0.324 0.676 0.000
0.500 0.172 0.828
0.676 0.000 0.324
0.828 0.500 0.172
0.249 0.249 0.249
0.500 0.500 0.500
0.751 0.751 0.751
```

Results
total moment = 2.16 μB/f.u.
electronic total energy = -45.6 eV per cell
formation energy from the elements = 0.24 eV per atom
theoretical density = 7.4 g/cm³

# 3
First-principles (PBE) data for a relaxed structure of CeNdTm6, as listed in the Alexandria database.

Cell and atoms, written as POSCAR:
```
CeNdTm6
1.0
5.624 0.000 0.000
0.000 7.142 0.000
0.000 0.000 12.333
Ce Nd Tm
2 2 12
direct
0.000 0.000 0.000
0.000 0.500 0.500
0.500 0.000 0.166
0.500 0.500 0.666
0.000 0.000 0.500
0.000 0.249 0.252
0.000 0.251 0.752
0.000 0.500 0.000
0.000 0.749 0.752
0.000 0.751 0.252
0.500 0.000 0.668
0.500 0.247 0.918
0.500 0.253 0.418
0.500 0.500 0.168
0.500 0.747 0.418
0.500 0.753 0.918
```

Results
total moment = 0.82 μB/f.u.
electronic total energy = -74.5 eV per cell
formation energy from the elements = 0.03 eV per atom
theoretical density = 8.7 g/cm³

# 4
First-principles (PBE) data for a relaxed structure of CeNd6Tm, as listed in the Alexandria database.

Cell and atoms, written as POSCAR:
```
CeNd6Tm
1.0
6.030 0.000 0.000
0.000 6.030 0.000
0.000 0.000 14.969
Ce Nd Tm
2 12 2
direct
0.000 0.000 0.000
0.500 0.500 0.500
0.000 0.000 0.248
0.000 0.000 0.752
0.000 0.500 0.119
0.000 0.500 0.381
0.000 0.500 0.619
0.000 0.500 0.881
0.500 0.000 0.119
0.500 0.000 0.381
0.500 0.000 0.619
0.500 0.000 0.881
0.500 0.500 0.252
0.500 0.500 0.748
0.000 0.000 0.500
0.500 0.500 0.000
```

Results
total moment = 1.75 μB/f.u.
electronic total energy = -75.8 eV per cell
formation energy from the elements = 0.14 eV per atom
theoretical density = 7.2 g/cm³

# 5
First-principles (PBE) data for a relaxed structure of CeNd6Tm12, as listed in the Alexandria database.

Cell and atoms, written as POSCAR:
```
CeNd6Tm12
1.0
6.595 3.807 4.158
-6.595 3.807 4.158
0.000 -7.615 4.158
Ce Nd Tm
1 6 12
direct
0.000 0.000 0.000
0.100 0.100 0.657
0.100 0.657 0.100
0.343 0.900 0.900
0.657 0.100 0.100
0.900 0.343 0.900
0.900 0.900 0.343
0.079 0.353 0.353
0.245 0.500 0.755
0.245 0.755 0.500
0.353 0.079 0.353
0.353 0.353 0.079
0.500 0.245 0.755
0.500 0.755 0.245
0.647 0.647 0.921
0.647 0.921 0.647
0.755 0.245 0.500
0.755 0.500 0.245
0.921 0.647 0.647
```

Results
total moment = 0.33 μB/f.u.
electronic total energy = -84.0 eV per cell
formation energy from the elements = 0.22 eV per atom
theoretical density = 8.0 g/cm³

# 6
First-principles (PBE) data for a relaxed structure of CeNd8Tm2, as listed in the Alexandria database.

Cell and atoms, written as POSCAR:
```
CeNd8Tm2
1.0
-2.851 4.118 8.009
2.851 -4.118 8.009
2.851 4.118 -8.009
Ce Nd Tm
1 8 2
direct
0.000 0.000 0.000
0.157 0.864 0.292
0.164 0.664 0.500
0.289 0.500 0.789
0.428 0.136 0.292
0.572 0.864 0.708
0.711 0.500 0.211
0.836 0.336 0.500
0.843 0.136 0.708
0.300 0.300 0.000
0.700 0.700 0.000
```

Results
total moment = 1.10 μB/f.u.
electronic total energy = -51.7 eV per cell
formation energy from the elements = 0.12 eV per atom
theoretical density = 7.2 g/cm³

# 7
First-principles (PBE) data for a relaxed structure of Ce2Nd5Tm6, as listed in the Alexandria database.

Cell and atoms, written as POSCAR:
```
Ce2Nd5Tm6
1.0
11.443 0.000 0.000
0.000 20.862 0.000
0.000 0.000 3.555
Ce Nd Tm
4 10 12
direct
0.190 0.236 0.000
0.310 0.736 0.000
0.690 0.264 0.000
0.810 0.764 0.000
0.000 0.500 0.500
0.061 0.794 0.500
0.190 0.078 0.500
0.310 0.578 0.500
0.439 0.294 0.500
0.500 0.000 0.500
0.561 0.706 0.500
0.690 0.422 0.500
0.810 0.922 0.500
0.939 0.206 0.500
0.063 0.647 0.000
0.084 0.938 0.000
0.187 0.376 0.500
0.313 0.876 0.500
0.416 0.438 0.000
0.437 0.147 0.000
0.563 0.853 0.000
0.584 0.562 0.000
0.687 0.124 0.500
0.813 0.624 0.500
0.916 0.062 0.000
0.937 0.353 0.000
```

Results
total moment = 1.46 μB/f.u.
electronic total energy = -121.9 eV per cell
formation energy from the elements = 0.12 eV per atom
theoretical density = 7.9 g/cm³

# 8
First-principles (PBE) data for a relaxed structure of CeNd5Tm6, as listed in the Alexandria database.

Cell and atoms, written as POSCAR:
```
CeNd5Tm6
1.0
-2.550 4.958 7.636
2.550 -4.958 7.636
2.550 4.958 -7.636
Ce Nd Tm
1 5 6
direct
0.000 0.000 0.000
0.165 0.665 0.500
0.334 0.334 0.000
0.500 0.000 0.500
0.666 0.666 0.000
0.835 0.335 0.500
0.082 0.835 0.248
0.246 0.500 0.746
0.413 0.165 0.248
0.587 0.835 0.752
0.754 0.500 0.254
0.918 0.165 0.752
```

Results
total moment = 0.94 μB/f.u.
electronic total energy = -56.2 eV per cell
formation energy from the elements = 0.04 eV per atom
theoretical density = 8.1 g/cm³

# 9
First-principles (PBE) data for a relaxed structure of CeNd6Tm5, as listed in the Alexandria database.

Cell and atoms, written as POSCAR:
```
CeNd6Tm5
1.0
-2.558 5.027 7.624
2.558 -5.027 7.624
2.558 5.027 -7.624
Ce Nd Tm
1 6 5
direct
0.000 0.000 0.000
0.085 0.835 0.250
0.249 0.500 0.749
0.415 0.165 0.250
0.585 0.835 0.750
0.751 0.500 0.251
0.915 0.165 0.750
0.166 0.666 0.500
0.332 0.332 0.000
0.500 0.000 0.500
0.668 0.668 0.000
0.834 0.334 0.500
```

Results
total moment = 1.09 μB/f.u.
electronic total energy = -56.4 eV per cell
formation energy from the elements = 0.04 eV per atom
theoretical density = 7.8 g/cm³

# 10
First-principles (PBE) data for a relaxed structure of CeNd4Tm6, as listed in the Alexandria database.

Cell and atoms, written as POSCAR:
```
CeNd4Tm6
1.0
-3.318 3.318 8.396
3.318 -3.318 8.396
3.318 3.318 -8.396
Ce Nd Tm
1 4 6
direct
0.000 0.000 0.000
0.016 0.635 0.000
0.365 0.365 0.381
0.635 0.016 0.000
0.984 0.984 0.619
0.000 0.500 0.500
0.195 0.195 0.637
0.442 0.805 0.000
0.500 0.000 0.500
0.558 0.558 0.363
0.805 0.442 0.000
```

Results
total moment = 0.30 μB/f.u.
electronic total energy = -48.4 eV per cell
formation energy from the elements = 0.31 eV per atom
theoretical density = 7.8 g/cm³

# 11
First-principles (PBE) data for a relaxed structure of CeNd4Tm4, as listed in the Alexandria database.

Cell and atoms, written as POSCAR:
```
CeNd4Tm4
1.0
-5.373 5.373 2.528
5.373 -5.373 2.528
5.373 5.373 -2.528
Ce Nd Tm
1 4 4
direct
0.000 0.000 0.000
0.335 0.335 0.670
0.335 0.665 0.000
0.665 0.335 0.000
0.665 0.665 0.330
0.000 0.336 0.336
0.000 0.664 0.664
0.336 0.000 0.336
0.664 0.000 0.664
```

Results
total moment = 0.77 μB/f.u.
electronic total energy = -42.5 eV per cell
formation energy from the elements = 0.05 eV per atom
theoretical density = 7.9 g/cm³

# 12
First-principles (PBE) data for a relaxed structure of CeNd12Tm7, as listed in the Alexandria database.

Cell and atoms, written as POSCAR:
```
CeNd12Tm7
1.0
9.796 5.656 2.056
-9.796 5.656 2.056
0.000 -11.312 2.056
Ce Nd Tm
1 12 7
direct
0.000 0.000 0.000
0.071 0.425 0.425
0.088 0.500 0.912
0.088 0.912 0.500
0.425 0.071 0.425
0.425 0.425 0.071
0.500 0.088 0.912
0.500 0.912 0.088
0.575 0.575 0.929
0.575 0.929 0.575
0.912 0.088 0.500
0.912 0.500 0.088
0.929 0.575 0.575
0.119 0.119 0.360
0.119 0.360 0.119
0.360 0.119 0.119
0.500 0.500 0.500
0.640 0.881 0.881
0.881 0.640 0.881
0.881 0.881 0.640
```

Results
total moment = 0.66 μB/f.u.
electronic total energy = -89.5 eV per cell
formation energy from the elements = 0.25 eV per atom
theoretical density = 7.4 g/cm³

# 13
First-principles (PBE) data for a relaxed structure of CeNd4Tm, as listed in the Alexandria database.

Cell and atoms, written as POSCAR:
```
CeNd4Tm
1.0
6.272 0.000 0.000
0.000 10.884 0.000
-2.071 0.000 5.911
Ce Nd Tm
2 8 2
direct
0.000 0.000 0.000
0.500 0.500 0.000
0.000 0.163 0.500
0.000 0.335 0.000
0.000 0.665 0.000
0.000 0.837 0.500
0.500 0.165 0.000
0.500 0.337 0.500
0.500 0.663 0.500
0.500 0.835 0.000
0.000 0.500 0.500
0.500 0.000 0.500
```

Results
total moment = 1.10 μB/f.u.
electronic total energy = -58.2 eV per cell
formation energy from the elements = 0.06 eV per atom
theoretical density = 7.3 g/cm³

# 14
First-principles (PBE) data for a relaxed structure of CeNd2Tm4, as listed in the Alexandria database.

Cell and atoms, written as POSCAR:
```
CeNd2Tm4
1.0
6.193 0.000 0.000
0.000 3.576 0.000
-2.073 0.000 20.036
Ce Nd Tm
2 4 8
direct
0.000 0.000 0.000
0.500 0.500 0.000
0.310 0.500 0.424
0.406 0.500 0.714
0.810 0.000 0.424
0.906 0.000 0.714
0.094 0.000 0.278
0.120 0.500 0.858
0.192 0.000 0.570
0.214 0.500 0.142
0.594 0.500 0.278
0.620 0.000 0.858
0.692 0.500 0.570
0.714 0.000 0.142
```

Results
total moment = 1.00 μB/f.u.
electronic total energy = -66.1 eV per cell
formation energy from the elements = 0.04 eV per atom
theoretical density = 8.3 g/cm³

# 15
First-principles (PBE) data for a relaxed structure of CeNd2Tm, as listed in the Alexandria database.

Cell and atoms, written as POSCAR:
```
CeNd2Tm
1.0
3.568 0.000 0.000
0.000 3.568 0.000
0.000 0.000 10.207
Ce Nd Tm
1 2 1
direct
0.000 0.000 0.000
0.500 0.500 0.247
0.500 0.500 0.753
0.000 0.000 0.500
```

Results
total moment = 0.60 μB/f.u.
electronic total energy = -19.7 eV per cell
distance to the lowest polymorph of the same formula = 0.0 meV/atom
formation energy from the elements = 0.07 eV per atom
theoretical density = 7.6 g/cm³

# 16
First-principles (PBE) data for a relaxed structure of CeNd8Tm6, as listed in the Alexandria database.

Cell and atoms, written as POSCAR:
```
CeNd8Tm6
1.0
9.841 0.000 0.000
-4.920 8.522 0.000
0.000 0.000 5.916
Ce Nd Tm
1 8 6
direct
0.000 0.000 0.000
0.050 0.782 0.731
0.218 0.268 0.731
0.268 0.050 0.269
0.333 0.667 0.725
0.667 0.333 0.275
0.732 0.950 0.731
0.782 0.732 0.269
0.950 0.218 0.269
0.093 0.619 0.243
0.381 0.474 0.243
0.474 0.093 0.757
0.526 0.907 0.243
0.619 0.526 0.757
0.907 0.381 0.757
```

Results
total moment = 0.00 μB/f.u.
electronic total energy = -68.9 eV per cell
formation energy from the elements = 0.13 eV per atom
theoretical density = 7.7 g/cm³

# 17
First-principles (PBE) data for a relaxed structure of CeNd12Tm2, as listed in the Alexandria database.

Cell and atoms, written as POSCAR:
```
CeNd12Tm2
1.0
3.587 -5.812 0.000
3.587 5.812 0.000
0.000 0.000 25.002
Ce Nd Tm
2 24 4
direct
0.250 0.750 0.999
0.750 0.250 0.001
0.002 0.502 0.871
0.003 0.997 0.072
0.019 0.519 0.413
0.024 0.976 0.560
0.250 0.250 0.198
0.250 0.250 0.324
0.250 0.250 0.676
0.250 0.250 0.802
0.476 0.524 0.560
0.481 0.981 0.413
0.497 0.503 0.072
0.498 0.998 0.871
0.502 0.002 0.129
0.503 0.497 0.928
0.519 0.019 0.587
0.524 0.476 0.440
0.750 0.750 0.198
0.750 0.750 0.324
0.750 0.750 0.676
0.750 0.750 0.802
0.976 0.024 0.440
0.981 0.481 0.587
0.997 0.003 0.928
0.998 0.498 0.129
0.250 0.750 0.266
0.250 0.750 0.731
0.750 0.250 0.269
0.750 0.250 0.734
```

Results
total moment = 1.56 μB/f.u.
electronic total energy = -139.0 eV per cell
formation energy from the elements = 0.17 eV per atom
theoretical density = 7.0 g/cm³

# 18
First-principles (PBE) data for a relaxed structure of CeNd4Tm8, as listed in the Alexandria database.

Cell and atoms, written as POSCAR:
```
CeNd4Tm8
1.0
5.494 3.172 4.458
-5.494 3.172 4.458
0.000 -6.344 4.458
Ce Nd Tm
1 4 8
direct
0.000 0.000 0.000
0.000 0.000 0.500
0.000 0.500 0.000
0.500 0.000 0.000
0.500 0.500 0.500
0.256 0.741 0.741
0.258 0.258 0.258
0.259 0.259 0.744
0.259 0.744 0.259
0.741 0.256 0.741
0.741 0.741 0.256
0.742 0.742 0.742
0.744 0.259 0.259
```

Results
total moment = 2.81 μB/f.u.
electronic total energy = -53.9 eV per cell
formation energy from the elements = 0.53 eV per atom
theoretical density = 7.4 g/cm³

# 19
First-principles (PBE) data for a relaxed structure of CeNd8Tm3, as listed in the Alexandria database.

Cell and atoms, written as POSCAR:
```
CeNd8Tm3
1.0
-4.353 4.353 5.780
4.353 -4.353 5.780
4.353 4.353 -5.780
Ce Nd Tm
1 8 3
direct
0.000 0.000 0.000
0.119 0.363 0.000
0.218 0.743 0.000
0.257 0.257 0.475
0.363 0.119 0.000
0.637 0.637 0.756
0.743 0.218 0.000
0.782 0.782 0.525
0.881 0.881 0.244
0.250 0.750 0.500
0.500 0.500 0.000
0.750 0.250 0.500
```

Results
total moment = 0.00 μB/f.u.
electronic total energy = -50.9 eV per cell
formation energy from the elements = 0.55 eV per atom
theoretical density = 6.8 g/cm³

# 20
First-principles (PBE) data for a relaxed structure of Ce2NdTm, as listed in the Alexandria database.

Cell and atoms, written as POSCAR:
```
Ce2NdTm
1.0
3.504 0.000 0.000
-1.752 3.035 0.000
0.000 0.000 34.783
Ce Nd Tm
6 3 3
direct
0.000 0.000 0.000
0.000 0.000 0.162
0.333 0.667 0.667
0.333 0.667 0.828
0.667 0.333 0.333
0.667 0.333 0.495
0.000 0.000 0.583
0.333 0.667 0.250
0.667 0.333 0.916
0.000 0.000 0.414
0.333 0.667 0.080
0.667 0.333 0.747
```

Results
total moment = 1.65 μB/f.u.
electronic total energy = -62.1 eV per cell
distance to the lowest polymorph of the same formula = 0.0 meV/atom
formation energy from the elements = 0.10 eV per atom
theoretical density = 8.0 g/cm³